## Ta2Nb4Si3N3 (GGA-PBE)

Data for an optimized crystal structure of Ta2Nb4Si3N3.

The structure belongs to space group C2/c (No. 15); the cell edges are 9.678, 5.583 and 12.669 Å and the angles 90.00°, 104.80° and 90.00°. The inequivalent atoms are Ta at (0.054, 0.086, 0.405), Nb at (0.115, 0.422, 0.596), Nb at (0.215, 0.414, 0.905), Si at (0.000, 0.418, 0.250), Si at (0.167, 0.084, 0.749), N at (0.080, 0.239, 0.000) and N at (0.250, 0.250, 0.500).

The value obtained for the calculated total energy is -452.458 eV for the cell shown.